ReAg2: optimized geometry, PBE.

Results
* crystal system: orthorhombic
* space-group type: Cmcm
* energy relative to the elements: 870 meV/atom
* energy above the lowest structure with this stoichiometry: 453 meV per atom

Cell: 7.847 7.847 4.850 Å, 90.00 90.00 160.33°
Last column: magnetic moment on the atom in μB.
Atoms (fractional coordinates):
Re1 0.388 0.612 0.750  0.75
Ag1 0.054 0.946 0.750  0.04
Ag2 0.721 0.279 0.750  0.05
Ag3 0.946 0.054 0.250  0.04
Re2 0.612 0.388 0.250  0.75
Ag4 0.279 0.721 0.250  0.05

La2TaZn: optimized geometry, PBE.

Results
* crystal system: monoclinic
* space-group type: Cm
* energy relative to the elements: 180 meV/atom

Cell: 6.138 6.138 5.555 Å, 72.76 72.76 31.04°
Atoms (fractional coordinates):
La1 0.971 0.971 0.054
Ta1 0.539 0.539 0.521
La2 0.777 0.777 0.694
Zn1 0.213 0.213 0.231

no.,energy (eV/atom)
1,-5.180
2,-5.565